The following is a PBE-GGA calculation of crystalline LaNd6Tl at its relaxed geometry, from the Alexandria database.

relative energy among the computed polymorphs = 0.0000 eV/atom
electronic total energy = -36.52 eV per formula unit
space-group type = P4/mmm
size of the total moment = 0.0 μB/f.u.
calculated formation energy = -0.077 eV/atom

Lattice parameters (Å, degrees): 5.0487 5.0487 10.5091 90.00 90.00 90.00
Fractional coordinates of all 8 atoms:
La 0.0000 0.0000 0.0000
Nd 0.0000 0.5000 0.2591
Nd 0.0000 0.5000 0.7409
Nd 0.5000 0.0000 0.2591
Nd 0.5000 0.0000 0.7409
Nd 0.5000 0.5000 0.0000
Nd 0.5000 0.5000 0.5000
Tl 0.0000 0.0000 0.5000

The following is a PBE-GGA calculation of crystalline Ce2MnGaPt6 at its relaxed geometry, from the Alexandria database.

electronic total energy = -67.10 eV per formula unit
space-group type = C2/m
size of the total moment = 5.0 μB/f.u.
calculated formation energy = -0.679 eV/atom

Lattice parameters (Å, degrees): 5.6074 5.6074 8.5057 109.26 109.26 60.03
Fractional coordinates of all 10 atoms:
Ce 0.2048 0.2048 0.1143
Ce 0.7952 0.7952 0.8857
Mn 0.5000 0.5000 0.0000
Ga 0.0000 0.0000 0.5000
Pt 0.2487 0.7498 0.2475
Pt 0.2502 0.7513 0.7525
Pt 0.2506 0.2506 0.7525
Pt 0.7494 0.7494 0.2475
Pt 0.7498 0.2487 0.2475
Pt 0.7513 0.2502 0.7525

The following is a PBE-GGA calculation of crystalline KTlIn2Ir at its relaxed geometry, from the Alexandria database.

electronic total energy = -18.23 eV per formula unit
space-group type = P4/mmm
size of the total moment = 0.0 μB/f.u.
calculated formation energy = -0.085 eV/atom

Lattice parameters (Å, degrees): 5.2548 5.2548 5.3598 90.00 90.00 90.00
Fractional coordinates of all 5 atoms:
K 0.0000 0.0000 0.0000
Tl 0.5000 0.5000 0.0000
In 0.0000 0.5000 0.5000
In 0.5000 0.0000 0.5000
Ir 0.5000 0.5000 0.5000